## SrAl2PtAu2 (PBE)

Data for crystalline SrAl2PtAu2 at its relaxed geometry.

Summary:
Energy relative to the elements   -606 meV per atom
Space-group type   No. 123

a = 4.7750 Å, b = 4.7750 Å, c = 5.9247 Å
α = 90.00°, β = 90.00°, γ = 90.00°
Fractional positions:
Sr1 0.0000 0.0000 0.5000
Al1 0.5000 0.0000 0.0000
Al2 0.0000 0.5000 0.0000
Pt1 0.0000 0.0000 0.0000
Au1 0.5000 0.5000 0.7366
Au2 0.5000 0.5000 0.2634